[1]
## CaMgOs2 (GGA-PBE)

Data for an optimized crystal structure of CaMgOs2.

Summary:
The calculation puts the total moment at 0.00 μB per atom. The formation energy is 0.554 eV per atom. The value obtained for the density of states at the Fermi level is 9.76 states/eV/cell. The space group is R-3m, No. 166.

Structure (CIF):
```
data_CaMgOs2
_space_group_name_H-M_alt 'P 1'
_space_group_IT_number 1
_cell_length_a 2.885
_cell_length_b 2.885
_cell_length_c 28.069
_cell_angle_alpha 90.00
_cell_angle_beta 90.00
_cell_angle_gamma 120.00
loop_
_space_group_symop_operation_xyz
'x,y,z'
loop_
_atom_site_label
_atom_site_type_symbol
_atom_site_fract_x
_atom_site_fract_y
_atom_site_fract_z
_atom_site_occupancy
Ca1 Ca 0.000 0.000 0.000 1
Ca2 Ca 0.333 0.667 0.667 1
Ca3 Ca 0.667 0.333 0.333 1
Mg1 Mg 0.000 0.000 0.500 1
Mg2 Mg 0.333 0.667 0.167 1
Mg3 Mg 0.667 0.333 0.833 1
Os1 Os 0.000 0.000 0.245 1
Os2 Os 0.000 0.000 0.755 1
Os3 Os 0.333 0.667 0.421 1
Os4 Os 0.333 0.667 0.912 1
Os5 Os 0.667 0.333 0.088 1
Os6 Os 0.667 0.333 0.579 1
```


[2]
## CaMgOs2 (GGA-PBE)

Data for an optimized crystal structure of CaMgOs2.

Summary:
The calculation puts the total moment at 0.00 μB per atom. The formation energy is 0.213 eV per atom. The value obtained for the density of states at the Fermi level is 3.76 states/eV/cell. The space group is P4mm, No. 99.

Structure (CIF):
```
data_CaMgOs2
_space_group_name_H-M_alt 'P 1'
_space_group_IT_number 1
_cell_length_a 2.965
_cell_length_b 2.965
_cell_length_c 8.822
_cell_angle_alpha 90.00
_cell_angle_beta 90.00
_cell_angle_gamma 90.00
loop_
_space_group_symop_operation_xyz
'x,y,z'
loop_
_atom_site_label
_atom_site_type_symbol
_atom_site_fract_x
_atom_site_fract_y
_atom_site_fract_z
_atom_site_occupancy
Ca1 Ca 0.000 0.000 0.000 1
Mg1 Mg 0.500 0.500 0.352 1
Os1 Os 0.000 0.000 0.573 1
Os2 Os 0.500 0.500 0.745 1
```


[3]
## CaMgOs2 (GGA-PBE)

Data for an optimized crystal structure of CaMgOs2.

Summary:
The calculation puts the total moment at 0.00 μB per atom. The formation energy is 0.559 eV per atom. The value obtained for the density of states at the Fermi level is 7.48 states/eV/cell. The space group is Immm, No. 71.

Structure (CIF):
```
data_CaMgOs2
_space_group_name_H-M_alt 'P 1'
_space_group_IT_number 1
_cell_length_a 3.065
_cell_length_b 4.778
_cell_length_c 9.326
_cell_angle_alpha 90.00
_cell_angle_beta 90.00
_cell_angle_gamma 90.00
loop_
_space_group_symop_operation_xyz
'x,y,z'
loop_
_atom_site_label
_atom_site_type_symbol
_atom_site_fract_x
_atom_site_fract_y
_atom_site_fract_z
_atom_site_occupancy
Ca1 Ca 0.000 0.000 0.000 1
Ca2 Ca 0.500 0.500 0.500 1
Mg1 Mg 0.000 0.000 0.500 1
Mg2 Mg 0.500 0.500 0.000 1
Os1 Os 0.000 0.500 0.239 1
Os2 Os 0.000 0.500 0.761 1
Os3 Os 0.500 0.000 0.261 1
Os4 Os 0.500 0.000 0.739 1
```


[4]
## CaMgOs3 (GGA-PBE)

Data for an optimized crystal structure of CaMgOs3.

Summary:
The calculation puts the total moment at 0.35 μB per atom. The formation energy is 2.781 eV per atom. The value obtained for the energy above the most stable polymorph in this dataset is 0.931 eV/atom. The value obtained for the density of states at the Fermi level is 6.87 states/eV/cell. The space group is Pm-3m, No. 221.

Structure (CIF):
```
data_CaMgOs3
_space_group_name_H-M_alt 'P 1'
_space_group_IT_number 1
_cell_length_a 4.693
_cell_length_b 4.693
_cell_length_c 4.693
_cell_angle_alpha 90.00
_cell_angle_beta 90.00
_cell_angle_gamma 90.00
loop_
_space_group_symop_operation_xyz
'x,y,z'
loop_
_atom_site_label
_atom_site_type_symbol
_atom_site_fract_x
_atom_site_fract_y
_atom_site_fract_z
_atom_site_occupancy
Ca1 Ca 0.000 0.000 0.000 1
Mg1 Mg 0.500 0.500 0.500 1
Os1 Os 0.000 0.000 0.500 1
Os2 Os 0.000 0.500 0.000 1
Os3 Os 0.500 0.000 0.000 1
```


[5]
## Ca2MgOs (GGA-PBE)

Data for an optimized crystal structure of Ca2MgOs.

Summary:
The calculation puts the total moment at 0.21 μB per atom. The formation energy is 0.839 eV per atom. The value obtained for the density of states at the Fermi level is 10.59 states/eV/cell. The space group is I-42d, No. 122.

Structure (CIF):
```
data_Ca2MgOs
_space_group_name_H-M_alt 'P 1'
_space_group_IT_number 1
_cell_length_a 4.364
_cell_length_b 4.364
_cell_length_c 20.653
_cell_angle_alpha 90.00
_cell_angle_beta 90.00
_cell_angle_gamma 90.00
loop_
_space_group_symop_operation_xyz
'x,y,z'
loop_
_atom_site_label
_atom_site_type_symbol
_atom_site_fract_x
_atom_site_fract_y
_atom_site_fract_z
_atom_site_occupancy
Ca1 Ca 0.228 0.250 0.125 1
Ca2 Ca 0.250 0.728 0.375 1
Ca3 Ca 0.250 0.772 0.875 1
Ca4 Ca 0.272 0.250 0.625 1
Ca5 Ca 0.728 0.750 0.625 1
Ca6 Ca 0.750 0.228 0.875 1
Ca7 Ca 0.750 0.272 0.375 1
Ca8 Ca 0.772 0.750 0.125 1
Mg1 Mg 0.000 0.000 0.500 1
Mg2 Mg 0.000 0.500 0.750 1
Mg3 Mg 0.500 0.000 0.250 1
Mg4 Mg 0.500 0.500 0.000 1
Os1 Os 0.000 0.000 0.000 1
Os2 Os 0.000 0.500 0.250 1
Os3 Os 0.500 0.000 0.750 1
Os4 Os 0.500 0.500 0.500 1
```


[6]
## Ca2MgOs (GGA-PBE)

Data for an optimized crystal structure of Ca2MgOs.

Summary:
The calculation puts the total moment at 0.00 μB per atom. The formation energy is 0.347 eV per atom. The value obtained for the density of states at the Fermi level is 2.32 states/eV/cell. The space group is I-4m2, No. 119.

Structure (CIF):
```
data_Ca2MgOs
_space_group_name_H-M_alt 'P 1'
_space_group_IT_number 1
_cell_length_a 4.797
_cell_length_b 4.797
_cell_length_c 7.683
_cell_angle_alpha 90.00
_cell_angle_beta 90.00
_cell_angle_gamma 90.00
loop_
_space_group_symop_operation_xyz
'x,y,z'
loop_
_atom_site_label
_atom_site_type_symbol
_atom_site_fract_x
_atom_site_fract_y
_atom_site_fract_z
_atom_site_occupancy
Ca1 Ca 0.000 0.000 0.000 1
Ca2 Ca 0.000 0.500 0.250 1
Ca3 Ca 0.500 0.000 0.750 1
Ca4 Ca 0.500 0.500 0.500 1
Mg1 Mg 0.000 0.500 0.750 1
Mg2 Mg 0.500 0.000 0.250 1
Os1 Os 0.000 0.000 0.500 1
Os2 Os 0.500 0.500 0.000 1
```


[7]
## CaMgOs2 (GGA-PBE)

Data for an optimized crystal structure of CaMgOs2.

Summary:
The calculation puts the total moment at 0.17 μB per atom. The formation energy is 0.492 eV per atom. The value obtained for the density of states at the Fermi level is 7.99 states/eV/cell. The space group is C2/m, No. 12.

Structure (CIF):
```
data_CaMgOs2
_space_group_name_H-M_alt 'P 1'
_space_group_IT_number 1
_cell_length_a 9.304
_cell_length_b 2.812
_cell_length_c 5.667
_cell_angle_alpha 90.00
_cell_angle_beta 96.98
_cell_angle_gamma 90.00
loop_
_space_group_symop_operation_xyz
'x,y,z'
loop_
_atom_site_label
_atom_site_type_symbol
_atom_site_fract_x
_atom_site_fract_y
_atom_site_fract_z
_atom_site_occupancy
Ca1 Ca 0.000 0.000 0.000 1
Ca2 Ca 0.500 0.500 0.000 1
Mg1 Mg 0.000 0.500 0.500 1
Mg2 Mg 0.500 0.000 0.500 1
Os1 Os 0.243 0.000 0.691 1
Os2 Os 0.257 0.500 0.309 1
Os3 Os 0.743 0.500 0.691 1
Os4 Os 0.757 0.000 0.309 1
```


[8]
## CaMgOs2 (GGA-PBE)

Data for an optimized crystal structure of CaMgOs2.

Summary:
The calculation puts the total moment at 0.00 μB per atom. The formation energy is 0.539 eV per atom. The value obtained for the density of states at the Fermi level is 15.35 states/eV/cell. The space group is R3m, No. 160.

Structure (CIF):
```
data_CaMgOs2
_space_group_name_H-M_alt 'P 1'
_space_group_IT_number 1
_cell_length_a 2.937
_cell_length_b 2.937
_cell_length_c 29.424
_cell_angle_alpha 90.00
_cell_angle_beta 90.00
_cell_angle_gamma 120.00
loop_
_space_group_symop_operation_xyz
'x,y,z'
loop_
_atom_site_label
_atom_site_type_symbol
_atom_site_fract_x
_atom_site_fract_y
_atom_site_fract_z
_atom_site_occupancy
Ca1 Ca 0.000 0.000 0.000 1
Ca2 Ca 0.333 0.667 0.667 1
Ca3 Ca 0.667 0.333 0.333 1
Mg1 Mg 0.000 0.000 0.771 1
Mg2 Mg 0.333 0.667 0.438 1
Mg3 Mg 0.667 0.333 0.104 1
Os1 Os 0.000 0.000 0.249 1
Os2 Os 0.000 0.000 0.514 1
Os3 Os 0.333 0.667 0.181 1
Os4 Os 0.333 0.667 0.915 1
Os5 Os 0.667 0.333 0.582 1
Os6 Os 0.667 0.333 0.848 1
```


[9]
## CaMgOs2Pb (GGA-PBE)

Data for an optimized crystal structure of CaMgOs2Pb.

Summary:
The calculation puts the total moment at 0.00 μB per atom. The formation energy is 1.539 eV per atom. The value obtained for the density of states at the Fermi level is 5.64 states/eV/cell. The space group is P4/mmm, No. 123.

Structure (CIF):
```
data_CaMgOs2Pb
_space_group_name_H-M_alt 'P 1'
_space_group_IT_number 1
_cell_length_a 5.080
_cell_length_b 5.080
_cell_length_c 5.050
_cell_angle_alpha 90.00
_cell_angle_beta 90.00
_cell_angle_gamma 90.00
loop_
_space_group_symop_operation_xyz
'x,y,z'
loop_
_atom_site_label
_atom_site_type_symbol
_atom_site_fract_x
_atom_site_fract_y
_atom_site_fract_z
_atom_site_occupancy
Ca1 Ca 0.000 0.000 0.000 1
Mg1 Mg 0.500 0.500 0.000 1
Os1 Os 0.000 0.500 0.500 1
Os2 Os 0.500 0.000 0.500 1
Pb1 Pb 0.500 0.500 0.500 1
```


[10]
## CaMgOsRu2 (GGA-PBE)

Data for an optimized crystal structure of CaMgOsRu2.

Summary:
The calculation puts the total moment at 0.00 μB per atom. The formation energy is 2.359 eV per atom. The value obtained for the density of states at the Fermi level is 7.98 states/eV/cell. The space group is P4/mmm, No. 123.

Structure (CIF):
```
data_CaMgOsRu2
_space_group_name_H-M_alt 'P 1'
_space_group_IT_number 1
_cell_length_a 4.482
_cell_length_b 4.482
_cell_length_c 4.655
_cell_angle_alpha 90.00
_cell_angle_beta 90.00
_cell_angle_gamma 90.00
loop_
_space_group_symop_operation_xyz
'x,y,z'
loop_
_atom_site_label
_atom_site_type_symbol
_atom_site_fract_x
_atom_site_fract_y
_atom_site_fract_z
_atom_site_occupancy
Ca1 Ca 0.000 0.000 0.000 1
Mg1 Mg 0.000 0.000 0.500 1
Os1 Os 0.500 0.500 0.500 1
Ru1 Ru 0.000 0.500 0.000 1
Ru2 Ru 0.500 0.000 0.000 1
```


[11]
## Ca2MgScOs (GGA-PBE)

Data for an optimized crystal structure of Ca2MgScOs.

Summary:
The calculation puts the total moment at 0.00 μB per atom. The formation energy is 0.867 eV per atom. The value obtained for the density of states at the Fermi level is 5.77 states/eV/cell. The space group is P4/mmm, No. 123.

Structure (CIF):
```
data_Ca2MgScOs
_space_group_name_H-M_alt 'P 1'
_space_group_IT_number 1
_cell_length_a 5.864
_cell_length_b 5.864
_cell_length_c 4.591
_cell_angle_alpha 90.00
_cell_angle_beta 90.00
_cell_angle_gamma 90.00
loop_
_space_group_symop_operation_xyz
'x,y,z'
loop_
_atom_site_label
_atom_site_type_symbol
_atom_site_fract_x
_atom_site_fract_y
_atom_site_fract_z
_atom_site_occupancy
Ca1 Ca 0.000 0.500 0.000 1
Ca2 Ca 0.500 0.000 0.000 1
Mg1 Mg 0.000 0.000 0.500 1
Sc1 Sc 0.500 0.500 0.000 1
Os1 Os 0.500 0.500 0.500 1
```


[12]
## CaMgSn2Os (GGA-PBE)

Data for an optimized crystal structure of CaMgSn2Os.

Summary:
The calculation puts the total moment at 0.00 μB per atom. The formation energy is 1.422 eV per atom. The value obtained for the density of states at the Fermi level is 4.23 states/eV/cell. The space group is P4/mmm, No. 123.

Structure (CIF):
```
data_CaMgSn2Os
_space_group_name_H-M_alt 'P 1'
_space_group_IT_number 1
_cell_length_a 5.591
_cell_length_b 5.591
_cell_length_c 4.829
_cell_angle_alpha 90.00
_cell_angle_beta 90.00
_cell_angle_gamma 90.00
loop_
_space_group_symop_operation_xyz
'x,y,z'
loop_
_atom_site_label
_atom_site_type_symbol
_atom_site_fract_x
_atom_site_fract_y
_atom_site_fract_z
_atom_site_occupancy
Ca1 Ca 0.000 0.000 0.000 1
Mg1 Mg 0.500 0.500 0.500 1
Sn1 Sn 0.000 0.500 0.000 1
Sn2 Sn 0.500 0.000 0.000 1
Os1 Os 0.000 0.000 0.500 1
```